# BaEuSb2, optimized geometry, DFT PBE
data_BaEuSb2
_chemical_formula_sum 'Ba1 Eu1 Sb2'
_cell_length_a 5.2155
_cell_length_b 5.2155
_cell_length_c 7.0716
_cell_angle_alpha 68.36
_cell_angle_beta 68.36
_cell_angle_gamma 60.00
_symmetry_space_group_name_H-M 'P 1'
_symmetry_Int_Tables_number 1
loop_
_symmetry_equiv_pos_as_xyz
'x,y,z'
loop_
_atom_site_label
_atom_site_fract_x
_atom_site_fract_y
_atom_site_fract_z
Ba1 0.0000 0.0000 0.0000
Eu1 0.5000 0.5000 0.5000
Sb1 0.2356 0.2356 0.2931
Sb2 0.7644 0.7644 0.7069
# V	37.682	A^3/atom
# raw formation energy	-0.796	eV per atom
# uncorrected energy	-23.624	eV/f.u.
# mass density	5870	kg/m³